! LiCr2GaCo PBE relaxed; values from VASP
! * SG: P4/mmm
! * V: 92 Å³ per cell
! * formation energy from the elements: 0.66 eV per atom
&SYSTEM
  ibrav = 0, nat = 5, ntyp = 4
/
ATOMIC_SPECIES
Cr 52.00 Cr.upf
Co 58.93 Co.upf
Ga 69.72 Ga.upf
Li 6.94 Li.upf
CELL_PARAMETERS angstrom
-3.747 1.806 -1.796
-2.222 -0.804 3.828
1.216 4.075 1.562
ATOMIC_POSITIONS crystal
Cr 0.000 0.000 0.500
Cr 0.500 0.000 0.000
Co 0.000 0.000 0.000
Ga 0.000 0.500 0.000
Li 0.500 0.500 0.500

! KNi3P2 PBE relaxed; values from VASP
! * SG: C2/m
! * V: 200 Å³ per cell
! * formation energy from the elements: -0.45 eV per atom
&SYSTEM
  ibrav = 0, nat = 12, ntyp = 3
/
ATOMIC_SPECIES
K 39.10 K.upf
Ni 58.69 Ni.upf
P 30.97 P.upf
CELL_PARAMETERS angstrom
-0.628 2.024 -3.008
-6.652 -2.500 1.957
1.999 6.813 4.167
ATOMIC_POSITIONS crystal
K 0.854 0.708 0.946
K 0.146 0.292 0.054
Ni 0.316 0.631 0.554
Ni 0.952 0.904 0.610
Ni 0.587 0.174 0.638
Ni 0.413 0.826 0.362
Ni 0.048 0.096 0.390
Ni 0.684 0.369 0.446
P 0.475 0.950 0.762
P 0.525 0.050 0.238
P 0.817 0.634 0.363
P 0.183 0.366 0.637

! MnHgMo3 PBE relaxed; values from VASP
! * SG: Pm-3m
! * V: 91 Å³ per cell
! * formation energy from the elements: 1.08 eV per atom
&SYSTEM
  ibrav = 0, nat = 5, ntyp = 3
/
ATOMIC_SPECIES
Mo 95.94 Mo.upf
Mn 54.94 Mn.upf
Hg 200.59 Hg.upf
CELL_PARAMETERS angstrom
4.498 0.000 0.000
0.000 4.498 0.000
0.000 0.000 4.498
ATOMIC_POSITIONS crystal
Mo 0.000 0.500 0.000
Mo 0.000 0.000 0.500
Mo 0.500 0.000 0.000
Mn 0.000 0.000 0.000
Hg 0.500 0.500 0.500

! Pa3SI7 PBE relaxed; values from VASP
! * formation energy (no corrections): -0.938 eV per atom
! * SG: P3m1
! * V: 479 Å³ per cell
&SYSTEM
  ibrav = 0, nat = 11, ntyp = 3
/
ATOMIC_SPECIES
Pa 231.04 Pa.upf
S 32.06 S.upf
I 126.90 I.upf
CELL_PARAMETERS angstrom
8.069 0.000 0.000
0.000 8.277 0.000
0.000 -4.138 7.168
ATOMIC_POSITIONS crystal
Pa 0.774 0.504 0.496
Pa 0.774 0.504 0.007
Pa 0.774 0.993 0.496
S 0.628 0.333 0.667
I 0.012 0.162 0.838
I 0.012 0.162 0.324
I 0.040 0.667 0.333
I 0.529 0.837 0.163
I 0.529 0.327 0.163
I 0.529 0.837 0.673
I 0.012 0.676 0.838

! CaH2Pd PBE relaxed; values from VASP
! * SG: R-3m
! * DFT total energy: -3.964 eV/atom
! * V: 58 Å³ per cell
&SYSTEM
  ibrav = 0, nat = 4, ntyp = 3
/
ATOMIC_SPECIES
H 1.01 H.upf
Ca 40.08 Ca.upf
Pd 106.42 Pd.upf
CELL_PARAMETERS angstrom
-2.169 0.546 3.172
-2.659 -2.641 1.011
1.449 -2.835 3.854
ATOMIC_POSITIONS crystal
H 0.124 0.124 0.628
H 0.876 0.876 0.372
Ca 0.500 0.500 0.500
Pd 0.000 0.000 0.000

! ErZnSb2 PBE relaxed; values from VASP
! * formation energy (no corrections): -0.423 eV per atom
! * SG: Pnma
! * V: 388 Å³ per cell
&SYSTEM
  ibrav = 0, nat = 16, ntyp = 3
/
ATOMIC_SPECIES
Er 167.26 Er.upf
Zn 65.41 Zn.upf
Sb 121.76 Sb.upf
CELL_PARAMETERS angstrom
-0.945 -0.855 4.832
-5.084 -3.375 -1.592
6.907 -10.189 -0.453
ATOMIC_POSITIONS crystal
Er 0.250 0.647 0.591
Er 0.750 0.147 0.909
Er 0.750 0.353 0.409
Er 0.250 0.853 0.091
Zn 0.250 0.421 0.808
Zn 0.750 0.921 0.692
Zn 0.750 0.579 0.192
Zn 0.250 0.079 0.308
Sb 0.250 0.148 0.533
Sb 0.750 0.648 0.967
Sb 0.750 0.852 0.467
Sb 0.250 0.352 0.033
Sb 0.250 0.878 0.813
Sb 0.750 0.378 0.687
Sb 0.750 0.122 0.187
Sb 0.250 0.622 0.313

! LiNbAg2 PBE relaxed; values from VASP
! * SG: I-42d
! * V: 146 Å³ per cell
! * formation energy from the elements: 0.62 eV per atom
&SYSTEM
  ibrav = 0, nat = 8, ntyp = 3
/
ATOMIC_SPECIES
Nb 92.91 Nb.upf
Ag 107.87 Ag.upf
Li 6.94 Li.upf
CELL_PARAMETERS angstrom
-4.515 0.814 -5.615
-4.960 -4.051 3.401
-5.792 0.662 0.072
ATOMIC_POSITIONS crystal
Nb 0.000 0.000 0.000
Nb 0.750 0.250 0.500
Ag 0.587 0.125 0.250
Ag 0.163 0.625 0.250
Ag 0.375 0.413 0.750
Ag 0.875 0.837 0.750
Li 0.500 0.500 0.000
Li 0.250 0.750 0.500

! MnZnSi2 PBE relaxed; values from VASP
! * formation energy (no corrections): 0.111 eV per atom
! * SG: I-4m2
! * V: 53 Å³ per cell
&SYSTEM
  ibrav = 0, nat = 4, ntyp = 3
/
ATOMIC_SPECIES
Mn 54.94 Mn.upf
Si 28.09 Si.upf
Zn 65.41 Zn.upf
CELL_PARAMETERS angstrom
4.724 -0.008 -0.007
1.881 4.334 0.007
-3.298 -2.170 2.595
ATOMIC_POSITIONS crystal
Mn 0.250 0.750 0.500
Si 0.000 0.000 0.000
Si 0.750 0.250 0.500
Zn 0.500 0.500 0.000

! TbSm2Mg8 PBE relaxed; values from VASP
! * SG: Immm
! * V: 294 Å³ per cell
! * formation energy from the elements: 0.04 eV per atom
&SYSTEM
  ibrav = 0, nat = 11, ntyp = 3
/
ATOMIC_SPECIES
Tb 158.93 Tb.upf
Sm 150.36 Sm.upf
Mg 24.30 Mg.upf
CELL_PARAMETERS angstrom
-2.769 1.305 4.253
-6.219 0.169 -4.101
3.324 -8.024 1.398
ATOMIC_POSITIONS crystal
Tb 0.500 0.000 0.000
Sm 0.202 0.702 0.403
Sm 0.798 0.298 0.597
Mg 0.641 0.847 0.282
Mg 0.359 0.565 0.718
Mg 0.157 0.157 0.314
Mg 0.000 0.287 0.000
Mg 0.843 0.843 0.686
Mg 0.641 0.435 0.282
Mg 0.359 0.153 0.718
Mg 0.000 0.713 0.000

! La2Ge3BiAu4 PBE relaxed; values from VASP
! * SG: P-4m2
! * V: 232 Å³ per cell
! * formation energy from the elements: -0.56 eV per atom
&SYSTEM
  ibrav = 0, nat = 10, ntyp = 4
/
ATOMIC_SPECIES
La 138.91 La.upf
Ge 72.64 Ge.upf
Bi 208.98 Bi.upf
Au 196.97 Au.upf
CELL_PARAMETERS angstrom
4.521 0.000 0.000
0.000 4.521 0.000
0.000 0.000 11.359
ATOMIC_POSITIONS crystal
La 0.500 0.000 0.222
La 0.000 0.500 0.778
Ge 0.000 0.000 0.500
Ge 0.500 0.000 0.876
Ge 0.000 0.500 0.124
Bi 0.500 0.500 0.500
Au 0.500 0.500 0.000
Au 0.000 0.000 0.000
Au 0.500 0.000 0.657
Au 0.000 0.500 0.343

! ReAsIr2 PBE relaxed; values from VASP
! * SG: Pmmm
! * V: 60 Å³ per cell
! * formation energy from the elements: 0.34 eV per atom
&SYSTEM
  ibrav = 0, nat = 4, ntyp = 3
/
ATOMIC_SPECIES
Re 186.21 Re.upf
As 74.92 As.upf
Ir 192.22 Ir.upf
CELL_PARAMETERS angstrom
2.836 0.000 0.000
0.000 4.602 0.000
0.000 0.000 4.612
ATOMIC_POSITIONS crystal
Re 0.500 0.000 0.500
As 0.000 0.500 0.500
Ir 0.000 0.000 0.000
Ir 0.500 0.500 0.000

! La6Tb3Er PBE relaxed; values from VASP
! * SG: Cmc2_1
! * V: 697 Å³ per cell
! * formation energy from the elements: 0.12 eV per atom
&SYSTEM
  ibrav = 0, nat = 20, ntyp = 3
/
ATOMIC_SPECIES
La 138.91 La.upf
Tb 158.93 Tb.upf
Er 167.26 Er.upf
CELL_PARAMETERS angstrom
-1.660 6.258 1.128
-7.147 -3.324 7.923
10.667 2.414 2.302
ATOMIC_POSITIONS crystal
La 0.050 0.714 0.633
La 0.550 0.633 0.714
La 0.364 0.510 0.928
La 0.864 0.928 0.510
La 0.369 0.968 0.032
La 0.664 0.284 0.716
La 0.164 0.716 0.284
La 0.869 0.032 0.968
La 0.364 0.072 0.490
La 0.864 0.490 0.072
La 0.050 0.367 0.286
La 0.550 0.286 0.367
Tb 0.468 0.946 0.710
Tb 0.968 0.710 0.946
Tb 0.083 0.385 0.615
Tb 0.583 0.615 0.385
Tb 0.968 0.054 0.290
Tb 0.468 0.290 0.054
Er 0.105 0.190 0.810
Er 0.605 0.810 0.190

! Mg4Sc5Pa PBE relaxed; values from VASP
! * SG: P4/mmm
! * V: 236 Å³ per cell
! * formation energy from the elements: 0.00 eV per atom
&SYSTEM
  ibrav = 0, nat = 10, ntyp = 3
/
ATOMIC_SPECIES
Mg 24.30 Mg.upf
Sc 44.96 Sc.upf
Pa 231.04 Pa.upf
CELL_PARAMETERS angstrom
-2.443 1.262 -1.910
-2.231 -0.687 2.400
3.219 19.010 8.437
ATOMIC_POSITIONS crystal
Mg 0.000 0.000 0.205
Mg 0.000 0.000 0.403
Mg 0.000 0.000 0.597
Mg 0.000 0.000 0.795
Sc 0.500 0.500 0.103
Sc 0.500 0.500 0.306
Sc 0.500 0.500 0.500
Sc 0.500 0.500 0.694
Sc 0.500 0.500 0.897
Pa 0.000 0.000 0.000

! HoThBeZn PBE relaxed; values from VASP
! * SG: F-43m
! * V: 89 Å³ per cell
! * formation energy from the elements: -0.02 eV per atom
&SYSTEM
  ibrav = 0, nat = 4, ntyp = 4
/
ATOMIC_SPECIES
Be 9.01 Be.upf
Zn 65.41 Zn.upf
Ho 164.93 Ho.upf
Th 232.04 Th.upf
CELL_PARAMETERS angstrom
5.010 0.000 0.000
2.505 4.338 0.000
2.505 1.446 4.090
ATOMIC_POSITIONS crystal
Be 0.500 0.500 0.500
Zn 0.000 0.000 0.000
Ho 0.750 0.750 0.750
Th 0.250 0.250 0.250

! Li2Mg3 PBE relaxed; values from VASP
! * SG: C2/m
! * V: 103 Å³ per cell
! * formation energy from the elements: -0.06 eV per atom
&SYSTEM
  ibrav = 0, nat = 5, ntyp = 2
/
ATOMIC_SPECIES
Li 6.94 Li.upf
Mg 24.30 Mg.upf
CELL_PARAMETERS angstrom
-4.017 -2.000 1.933
0.315 -4.249 2.433
-0.459 0.436 5.672
ATOMIC_POSITIONS crystal
Li 0.405 0.904 0.285
Li 0.595 0.096 0.715
Mg 0.792 0.292 0.125
Mg 0.000 0.500 0.500
Mg 0.208 0.708 0.875

! UTiO3 PBE relaxed; values from VASP
! * formation energy (no corrections): -2.674 eV per atom
! * SG: Pm-3m
! * V: 60 Å³ per cell
&SYSTEM
  ibrav = 0, nat = 5, ntyp = 3
/
ATOMIC_SPECIES
U 238.03 U.upf
O 16.00 O.upf
Ti 47.87 Ti.upf
CELL_PARAMETERS angstrom
3.913 0.000 0.000
0.000 3.913 0.000
0.000 0.000 3.913
ATOMIC_POSITIONS crystal
U 0.000 0.000 0.000
O 0.500 0.500 0.000
O 0.500 0.000 0.500
O 0.000 0.500 0.500
Ti 0.500 0.500 0.500

! SrLaTc2 PBE relaxed; values from VASP
! * SG: C2/m
! * V: 130 Å³ per cell
! * formation energy from the elements: 0.41 eV per atom
&SYSTEM
  ibrav = 0, nat = 4, ntyp = 3
/
ATOMIC_SPECIES
La 138.91 La.upf
Sr 87.62 Sr.upf
Tc 98.00 Tc.upf
CELL_PARAMETERS angstrom
-0.908 1.328 5.468
2.711 -0.496 4.989
3.386 5.695 3.901
ATOMIC_POSITIONS crystal
La 0.750 0.750 0.750
Sr 0.250 0.250 0.250
Tc 0.039 0.039 0.781
Tc 0.461 0.461 0.719

! BeAl2Sb PBE relaxed; values from VASP
! * formation energy (no corrections): 0.255 eV per atom
! * SG: Cm
! * V: 76 Å³ per cell
&SYSTEM
  ibrav = 0, nat = 4, ntyp = 3
/
ATOMIC_SPECIES
Sb 121.76 Sb.upf
Al 26.98 Al.upf
Be 9.01 Be.upf
CELL_PARAMETERS angstrom
-1.635 -3.928 0.870
-0.789 -3.464 -2.498
4.249 -4.202 0.488
ATOMIC_POSITIONS crystal
Sb 0.173 0.173 0.262
Al 0.994 0.994 0.950
Al 0.805 0.805 0.670
Be 0.528 0.528 0.619

! TlCoCl2 PBE relaxed; values from VASP
! * formation energy (no corrections): -0.307 eV per atom
! * SG: P4mm
! * V: 99 Å³ per cell
&SYSTEM
  ibrav = 0, nat = 4, ntyp = 3
/
ATOMIC_SPECIES
Tl 204.38 Tl.upf
Co 58.93 Co.upf
Cl 35.45 Cl.upf
CELL_PARAMETERS angstrom
3.448 0.000 0.000
0.000 3.448 0.000
0.000 0.000 8.356
ATOMIC_POSITIONS crystal
Tl 0.500 0.500 0.798
Co 0.000 0.000 0.300
Cl 0.000 0.000 0.029
Cl 0.500 0.500 0.374

! Sr2As4Pd3Pt PBE relaxed; values from VASP
! * SG: P-4m2
! * V: 205 Å³ per cell
! * formation energy from the elements: -0.77 eV per atom
&SYSTEM
  ibrav = 0, nat = 10, ntyp = 4
/
ATOMIC_SPECIES
Sr 87.62 Sr.upf
As 74.92 As.upf
Pd 106.42 Pd.upf
Pt 195.08 Pt.upf
CELL_PARAMETERS angstrom
4.504 0.000 0.000
0.000 4.504 0.000
0.000 0.000 10.082
ATOMIC_POSITIONS crystal
Sr 0.500 0.000 0.249
Sr 0.000 0.500 0.751
As 0.500 0.500 0.000
As 0.000 0.000 0.000
As 0.500 0.000 0.628
As 0.000 0.500 0.372
Pd 0.000 0.000 0.500
Pd 0.500 0.000 0.878
Pd 0.000 0.500 0.122
Pt 0.500 0.500 0.500